K2CdP2 | Alexandria | GGA-PBE | optimized geometry; excess energy over the best structure of this formula in the dataset = 132.4 meV/atom; energy of formation from the pure elements = -38 meV/atom; symmetry = I4/mmm; DOS at the Fermi energy = 0.248 states/eV per atom
1.0
6.1997 0.0000 0.0000
0.0000 6.1997 0.0000
3.0998 3.0998 4.6378
Cd P K
1 2 2
Direct
0.0000 0.0000 0.0000 Cd
0.3883 0.3883 0.2234 P
0.6117 0.6117 0.7766 P
0.2500 0.7500 0.5000 K
0.7500 0.2500 0.5000 K